DFT (GGA-PBE) results for crystalline CdTeW2 at its relaxed geometry.

CIF file:
```
data_CdTeW2
_symmetry_space_group_name_H-M 'I m m 2'
_symmetry_Int_Tables_number 44
_cell_length_a 3.151
_cell_length_b 4.834
_cell_length_c 11.204
_cell_angle_alpha 90.00
_cell_angle_beta 90.00
_cell_angle_gamma 90.00
loop_
_symmetry_equiv_pos_as_xyz
'x,y,z'
'-x,-y,z'
'-x,y,z'
'x,-y,z'
'x+1/2,y+1/2,z+1/2'
'-x+1/2,-y+1/2,z+1/2'
'-x+1/2,y+1/2,z+1/2'
'x+1/2,-y+1/2,z+1/2'
loop_
_atom_site_label
_atom_site_type_symbol
_atom_site_fract_x
_atom_site_fract_y
_atom_site_fract_z
Cd1 Cd 0.000 0.000 0.000
Te1 Te 0.000 0.500 0.777
W1 W 0.000 0.000 0.507
W2 W 0.000 0.500 0.178
```

Values from the calculation:
uncorrected formation energy = 0.740 eV per atom
crystal system = orthorhombic
energy relative to the lowest polymorph listed for this composition = 308 meV/atom

DFT (GGA-PBE) results for crystalline LaSc2Si at its relaxed geometry.

CIF file:
```
data_LaSc2Si
_symmetry_space_group_name_H-M 'R -3 m'
_symmetry_Int_Tables_number 166
_symmetry_space_group_name_Hall '-R 3 2"'
_cell_length_a 3.3617
_cell_length_b 3.3617
_cell_length_c 31.0030
_cell_angle_alpha 90.00
_cell_angle_beta 90.00
_cell_angle_gamma 120.00
loop_
_atom_site_label
_atom_site_type_symbol
_atom_site_fract_x
_atom_site_fract_y
_atom_site_fract_z
La1 La 0.0000 0.0000 0.0000
Sc1 Sc 0.0000 0.0000 0.1064
Si1 Si 0.0000 0.0000 0.5000
```

Values from the calculation:
uncorrected formation energy = -0.050 eV per atom
crystal system = trigonal

DFT (GGA-PBE) results for crystalline YAg3Ir at its relaxed geometry.

CIF file:
```
data_YAg3Ir
_symmetry_space_group_name_H-M 'P m -3 m'
_symmetry_Int_Tables_number 221
_symmetry_space_group_name_Hall '-P 4 2 3'
_cell_length_a 5.136
_cell_length_b 5.136
_cell_length_c 5.136
_cell_angle_alpha 90.00
_cell_angle_beta 90.00
_cell_angle_gamma 90.00
loop_
_atom_site_label
_atom_site_type_symbol
_atom_site_fract_x
_atom_site_fract_y
_atom_site_fract_z
Y1 Y 0.000 0.000 0.000
Ag1 Ag 0.000 0.000 0.500
Ir1 Ir 0.500 0.500 0.500
```

Values from the calculation:
crystal system = cubic
energy relative to the lowest polymorph listed for this composition = 1183 meV/atom

DFT (GGA-PBE) results for crystalline Ni6HgSb at its relaxed geometry.

CIF file:
```
data_Ni6HgSb
_symmetry_space_group_name_H-M 'C m m m'
_symmetry_Int_Tables_number 65
_symmetry_space_group_name_Hall '-C 2 2'
_cell_length_a 7.521
_cell_length_b 10.560
_cell_length_c 10.570
_cell_angle_alpha 90.00
_cell_angle_beta 90.00
_cell_angle_gamma 90.00
loop_
_atom_site_label
_atom_site_type_symbol
_atom_site_fract_x
_atom_site_fract_y
_atom_site_fract_z
Ni1 Ni 0.000 0.000 0.000
Ni2 Ni 0.000 0.000 0.500
Ni3 Ni 0.000 0.248 0.245
Ni4 Ni 0.000 0.500 0.000
Ni5 Ni 0.000 0.500 0.500
Ni6 Ni 0.245 0.125 0.372
Ni7 Ni 0.246 0.125 0.123
Hg1 Hg 0.000 0.254 0.500
Hg2 Hg 0.000 0.500 0.251
Sb1 Sb 0.000 0.000 0.252
Sb2 Sb 0.000 0.252 0.000
```

Values from the calculation:
uncorrected formation energy = 0.024 eV per atom
crystal system = orthorhombic

DFT (GGA-PBE) results for crystalline Y4AgRh3 at its relaxed geometry.

CIF file:
```
data_Y4AgRh3
_symmetry_space_group_name_H-M 'P 4/m m m'
_symmetry_Int_Tables_number 123
_symmetry_space_group_name_Hall '-P 4 2'
_cell_length_a 4.886
_cell_length_b 4.886
_cell_length_c 7.101
_cell_angle_alpha 90.00
_cell_angle_beta 90.00
_cell_angle_gamma 90.00
loop_
_atom_site_label
_atom_site_type_symbol
_atom_site_fract_x
_atom_site_fract_y
_atom_site_fract_z
Y1 Y 0.000 0.500 0.241
Ag1 Ag 0.000 0.000 0.500
Rh1 Rh 0.000 0.000 0.000
Rh2 Rh 0.500 0.500 0.000
Rh3 Rh 0.500 0.500 0.500
```

Values from the calculation:
crystal system = tetragonal
uncorrected energy = -7.0465 eV/atom

DFT (GGA-PBE) results for crystalline CsSn3Pd at its relaxed geometry.

CIF file:
```
data_CsSn3Pd
_symmetry_space_group_name_H-M 'P 1 21/c 1'
_symmetry_Int_Tables_number 14
_cell_length_a 9.375
_cell_length_b 7.557
_cell_length_c 9.725
_cell_angle_alpha 90.00
_cell_angle_beta 116.32
_cell_angle_gamma 90.00
loop_
_symmetry_equiv_pos_as_xyz
'x,y,z'
'-x,-y,-z'
'-x,y+1/2,-z+1/2'
'x,-y+1/2,z+1/2'
loop_
_atom_site_label
_atom_site_type_symbol
_atom_site_fract_x
_atom_site_fract_y
_atom_site_fract_z
Cs1 Cs 0.116 0.062 0.205
Sn1 Sn 0.169 0.576 0.104
Sn2 Sn 0.327 0.057 0.934
Sn3 Sn 0.468 0.123 0.642
Pd1 Pd 0.421 0.736 0.072
```

Values from the calculation:
crystal system = monoclinic
energy relative to the lowest polymorph listed for this composition = 0 meV/atom

DFT (GGA-PBE) results for crystalline PSe2N2 at its relaxed geometry.

CIF file:
```
data_PSe2N2
_symmetry_space_group_name_H-M 'P 4/m m m'
_symmetry_Int_Tables_number 123
_symmetry_space_group_name_Hall '-P 4 2'
_cell_length_a 5.041
_cell_length_b 5.041
_cell_length_c 3.179
_cell_angle_alpha 90.00
_cell_angle_beta 90.00
_cell_angle_gamma 90.00
loop_
_atom_site_label
_atom_site_type_symbol
_atom_site_fract_x
_atom_site_fract_y
_atom_site_fract_z
P1 P 0.000 0.000 0.000
Se1 Se 0.000 0.500 0.000
N1 N 0.000 0.000 0.500
N2 N 0.500 0.500 0.500
```

Values from the calculation:
uncorrected formation energy = 1.583 eV per atom
crystal system = tetragonal
energy relative to the lowest polymorph listed for this composition = 672 meV/atom

DFT (GGA-PBE) results for crystalline Be5Ni4 at its relaxed geometry.

CIF file:
```
data_Be5Ni4
_symmetry_space_group_name_H-M 'I 4/m m m'
_symmetry_Int_Tables_number 139
_symmetry_space_group_name_Hall '-I 4 2'
_cell_length_a 6.928
_cell_length_b 6.928
_cell_length_c 3.385
_cell_angle_alpha 90.00
_cell_angle_beta 90.00
_cell_angle_gamma 90.00
loop_
_atom_site_label
_atom_site_type_symbol
_atom_site_fract_x
_atom_site_fract_y
_atom_site_fract_z
Be1 Be 0.000 0.000 0.000
Be2 Be 0.169 0.169 0.500
Ni1 Ni 0.000 0.309 0.000
```

Values from the calculation:
crystal system = tetragonal
uncorrected energy = -4.9619 eV/atom

DFT (GGA-PBE) results for crystalline BIrOs2 at its relaxed geometry.

CIF file:
```
data_BIrOs2
_symmetry_space_group_name_H-M 'I -4 2 d'
_symmetry_Int_Tables_number 122
_symmetry_space_group_name_Hall 'I -4 2bw'
_cell_length_a 4.977
_cell_length_b 4.977
_cell_length_c 10.805
_cell_angle_alpha 90.00
_cell_angle_beta 90.00
_cell_angle_gamma 90.00
loop_
_atom_site_label
_atom_site_type_symbol
_atom_site_fract_x
_atom_site_fract_y
_atom_site_fract_z
B1 B 0.000 0.000 0.000
Ir1 Ir 0.000 0.000 0.500
Os1 Os 0.184 0.250 0.125
```

Values from the calculation:
crystal system = tetragonal
uncorrected energy = -8.5965 eV/atom

DFT (GGA-PBE) results for crystalline Ba2BiP at its relaxed geometry.

CIF file:
```
data_Ba2BiP
_symmetry_space_group_name_H-M 'F m -3 m'
_symmetry_Int_Tables_number 225
_symmetry_space_group_name_Hall '-F 4 2 3'
_cell_length_a 8.321
_cell_length_b 8.321
_cell_length_c 8.321
_cell_angle_alpha 90.00
_cell_angle_beta 90.00
_cell_angle_gamma 90.00
loop_
_atom_site_label
_atom_site_type_symbol
_atom_site_fract_x
_atom_site_fract_y
_atom_site_fract_z
Ba1 Ba 0.250 0.250 0.250
Bi1 Bi 0.000 0.000 0.000
P1 P 0.000 0.000 0.500
```

Values from the calculation:
crystal system = cubic
energy relative to the lowest polymorph listed for this composition = 7 meV/atom

DFT (GGA-PBE) results for crystalline NdSm2Dy8 at its relaxed geometry.

CIF file:
```
data_NdSm2Dy8
_symmetry_space_group_name_H-M 'I m m m'
_symmetry_Int_Tables_number 71
_symmetry_space_group_name_Hall '-I 2 2'
_cell_length_a 5.530
_cell_length_b 8.139
_cell_length_c 16.019
_cell_angle_alpha 90.00
_cell_angle_beta 90.00
_cell_angle_gamma 90.00
loop_
_atom_site_label
_atom_site_type_symbol
_atom_site_fract_x
_atom_site_fract_y
_atom_site_fract_z
Nd1 Nd 0.000 0.000 0.000
Sm1 Sm 0.000 0.000 0.300
Dy1 Dy 0.000 0.206 0.500
Dy2 Dy 0.000 0.293 0.139
Dy3 Dy 0.000 0.500 0.338
```

Values from the calculation:
crystal system = orthorhombic
energy relative to the lowest polymorph listed for this composition = 0 meV/atom

DFT (GGA-PBE) results for crystalline Nd4CuRu at its relaxed geometry.

CIF file:
```
data_Nd4CuRu
_symmetry_space_group_name_H-M 'F -4 3 m'
_symmetry_Int_Tables_number 216
_symmetry_space_group_name_Hall 'F -4 2 3'
_cell_length_a 13.833
_cell_length_b 13.833
_cell_length_c 13.833
_cell_angle_alpha 90.00
_cell_angle_beta 90.00
_cell_angle_gamma 90.00
loop_
_atom_site_label
_atom_site_type_symbol
_atom_site_fract_x
_atom_site_fract_y
_atom_site_fract_z
Nd1 Nd 0.000 0.000 0.189
Nd2 Nd 0.058 0.250 0.750
Nd3 Nd 0.101 0.101 0.399
Cu1 Cu 0.159 0.159 0.159
Ru1 Ru 0.111 0.111 0.611
```

Values from the calculation:
crystal system = cubic
energy relative to the lowest polymorph listed for this composition = 9 meV/atom